No. 1
Compound: NdLu2Pu
Source: the Alexandria database
Functional: GGA-PBE
Structure: optimized geometry

Computed properties:
The value obtained for the magnetization is 6.399 μB/f.u. The formation energy comes out at 6.5 kcal/mol of atoms. The value obtained for the energy is -6.75 eV per atom.

Cell: 12.359 12.359 12.359 Å, 15.91 15.91 15.91°
Sites, in units of the cell vectors:
Nd  0.000  0.000  0.000
Lu  0.412  0.412  0.412
Lu  0.588  0.588  0.588
Pu  0.500  0.500  0.500

***

No. 2
Compound: BaPmSnAu
Source: the Alexandria database
Functional: GGA-PBE
Structure: optimized geometry

Computed properties:
The value obtained for the magnetization is 0.000 μB/f.u. The formation energy comes out at -13.8 kcal/mol of atoms. The value obtained for the energy is -4.09 eV per atom.

Cell: 5.612 5.612 5.612 Å, 60.00 60.00 60.00°
Sites, in units of the cell vectors:
Ba  0.000  0.000  0.000
Pm  0.500  0.500  0.500
Sn  0.750  0.750  0.750
Au  0.250  0.250  0.250

***

No. 3
Compound: Dy2Er15Th2
Source: the Alexandria database
Functional: GGA-PBE
Structure: optimized geometry

Computed properties:
The value obtained for the magnetization is 0.000 μB/f.u. The formation energy comes out at 6.8 kcal/mol of atoms. The value obtained for the energy is -4.57 eV per atom.

Cell: 8.671 8.671 8.671 Å, 78.91 78.91 78.91°
Sites, in units of the cell vectors:
Dy  0.183  0.183  0.183
Dy  0.817  0.817  0.817
Er  0.000  0.500  0.500
Er  0.133  0.133  0.645
Er  0.133  0.645  0.133
Er  0.199  0.500  0.801
Er  0.199  0.801  0.500
Er  0.355  0.867  0.867
Er  0.500  0.000  0.500
Er  0.500  0.199  0.801
Er  0.500  0.500  0.000
Er  0.500  0.801  0.199
Er  0.645  0.133  0.133
Er  0.801  0.199  0.500
Er  0.801  0.500  0.199
Er  0.867  0.355  0.867
Er  0.867  0.867  0.355
Th  0.411  0.411  0.411
Th  0.589  0.589  0.589

***

No. 4
Compound: Dy5CuBi4
Source: the Alexandria database
Functional: GGA-PBE
Structure: optimized geometry

Computed properties:
The value obtained for the magnetization is 0.007 μB/f.u. The formation energy comes out at -13.8 kcal/mol of atoms. The value obtained for the energy is -4.86 eV per atom.

Cell: 7.632 7.632 7.632 Å, 99.65 99.65 131.65°
Sites, in units of the cell vectors:
Dy  0.000  0.000  0.000
Dy  0.209  0.602  0.811
Dy  0.398  0.209  0.607
Dy  0.602  0.791  0.393
Dy  0.791  0.398  0.189
Cu  0.500  0.500  0.000
Bi  0.094  0.302  0.397
Bi  0.302  0.906  0.208
Bi  0.698  0.094  0.792
Bi  0.906  0.698  0.603

***

No. 5
Compound: CaTm2PuS4
Source: the Alexandria database
Functional: GGA-PBE
Structure: optimized geometry

Computed properties:
As for the formation energy (no corrections): -15.57 eV/f.u. The value obtained for the magnetization is 5.974 μB/f.u. The value obtained for the energy is -7.17 eV per atom.

Cell: 6.787 3.899 6.802 Å, 90.00 109.32 90.00°
Sites, in units of the cell vectors:
Ca  0.000  0.000  0.000
Tm  0.000  0.500  0.500
Tm  0.500  0.000  0.500
Pu  0.500  0.500  0.000
S  0.246  0.000  0.740
S  0.252  0.500  0.261
S  0.748  0.500  0.739
S  0.754  0.000  0.260

***

No. 6
Compound: Rb2AcCuO4
Source: the Alexandria database
Functional: GGA-PBE
Structure: optimized geometry

Computed properties:
As for the formation energy (no corrections): -12.79 eV/f.u. The value obtained for the magnetization is 0.000 μB/f.u. The value obtained for the energy is -5.35 eV per atom.

Cell: 5.819 5.819 5.819 Å, 113.50 113.50 101.68°
Sites, in units of the cell vectors:
Rb  0.000  0.000  0.000
Rb  0.750  0.250  0.500
Ac  0.500  0.500  0.000
Cu  0.250  0.750  0.500
O  0.145  0.046  0.582
O  0.437  0.855  0.900
O  0.463  0.563  0.418
O  0.954  0.537  0.100

***

No. 7
Compound: Dy4ZrCd5
Source: the Alexandria database
Functional: GGA-PBE
Structure: optimized geometry

Computed properties:
The value obtained for the magnetization is 0.076 μB/f.u. The formation energy comes out at -5.8 kcal/mol of atoms. The value obtained for the energy is -3.41 eV per atom.

Cell: 3.712 3.712 18.335 Å, 90.00 90.00 90.00°
Sites, in units of the cell vectors:
Dy  0.000  0.000  0.104
Dy  0.000  0.000  0.309
Dy  0.000  0.000  0.691
Dy  0.000  0.000  0.896
Zr  0.000  0.000  0.500
Cd  0.500  0.500  0.000
Cd  0.500  0.500  0.206
Cd  0.500  0.500  0.411
Cd  0.500  0.500  0.589
Cd  0.500  0.500  0.794

***

No. 8
Compound: Pm2ZrSn
Source: the Alexandria database
Functional: GGA-PBE
Structure: optimized geometry

Computed properties:
The value obtained for the magnetization is 0.000 μB/f.u. The formation energy comes out at 2.7 kcal/mol of atoms. The value obtained for the energy is -5.40 eV per atom.

Cell: 12.017 12.017 12.017 Å, 16.46 16.46 16.46°
Sites, in units of the cell vectors:
Pm  0.091  0.091  0.091
Pm  0.909  0.909  0.909
Zr  0.500  0.500  0.500
Sn  0.000  0.000  0.000